A) This record from Alexandria describes crystalline MgSc4Cd at its relaxed geometry. The functional is PBE-GGA.

Unit cell a=8.3646 b=8.3646 c=8.3646 alpha=90.00 beta=90.00 gamma=90.00
Closest atoms and distances in Å follow each position.
Space group F-43m (No. 216)
Symmetry-distinct sites (fractional):
1 Mg 0.0000 0.0000 0.0000  12 Sc 3.47, 4 Cd 3.62
2 Sc 0.1250 0.1250 0.6250  6 Sc 2.96
3 Cd 0.2500 0.2500 0.2500  12 Sc 3.47, 4 Mg 3.62

Output
As for the volume: 24.385 Å³/atom. For the calculated density, the calculation gives 3.592 g/cm³.

=====

B) This record from Alexandria describes crystalline MgSc4Cd at its relaxed geometry. The functional is PBE-GGA.

Unit cell a=4.8364 b=4.8364 c=24.2889 alpha=90.00 beta=90.00 gamma=120.00
Closest atoms and distances in Å follow each position.
Space group R-3m (No. 166, hexagonal axes)
Symmetry-distinct sites (fractional):
1 Mg 0.0000 0.0000 0.0000  8 Sc 3.00-3.07
2 Sc 0.0000 0.0000 0.1263  3 Cd 2.96, 1 Mg 3.07
3 Sc 0.0000 0.0000 0.3785  1 Cd 2.95, 3 Mg 3.00
4 Cd 0.0000 0.0000 0.5000  8 Sc 2.95-2.96

Output
As for the volume: 27.344 Å³/atom. For the calculated density, the calculation gives 3.204 g/cm³.

=====

Stability, highest: A)

=====

A) This record from Alexandria describes crystalline MgSc2Cd5 at its relaxed geometry. The functional is PBE-GGA.

Unit cell a=6.9050 b=6.9050 c=7.3373 alpha=90.00 beta=90.00 gamma=90.00
Closest atoms and distances in Å follow each position.
Space group I4mm (No. 107)
Symmetry-distinct sites (fractional):
1 Mg 0.0000 0.0000 0.0000  9 Cd 3.03-3.10
2 Sc 0.0000 0.5000 0.4587  8 Cd 3.06-3.07
3 Cd 0.0000 0.0000 0.4135  1 Mg 3.03, 8 Cd 3.07-3.09
4 Cd 0.2250 0.2250 0.7102  4 Sc 3.06-3.07, 2 Mg 3.06-3.10, 4 Cd 3.07-3.11

Output
As for the volume: 21.865 Å³/atom. For the calculated density, the calculation gives 6.420 g/cm³.

=====

B) This record from Alexandria describes crystalline MgSc2Cd5 at its relaxed geometry. The functional is PBE-GGA.

Unit cell a=6.4979 b=6.4979 c=4.8760 alpha=90.00 beta=90.00 gamma=90.00
Closest atoms and distances in Å follow each position.
Space group P4/mmm (No. 123)
Symmetry-distinct sites (fractional):
1 Mg 0.0000 0.0000 0.0000  6 Cd 2.44-2.65
2 Sc 0.0000 0.5000 0.5000  10 Cd 3.25-3.37
3 Cd 0.0000 0.0000 0.5000  2 Mg 2.44
4 Cd 0.2879 0.2879 0.0000  1 Mg 2.65, 2 Cd 2.76

Output
As for the volume: 25.735 Å³/atom. For the calculated density, the calculation gives 5.455 g/cm³.

=====

Stability, highest: A)

=====

A) This record from Alexandria describes crystalline MgSc2Cd at its relaxed geometry. The functional is PBE-GGA.

Unit cell a=3.2333 b=3.2333 c=8.7996 alpha=90.00 beta=90.00 gamma=90.00
Closest atoms and distances in Å follow each position.
Space group P4mm (No. 99)
Symmetry-distinct sites (fractional):
1 Mg 0.0000 0.0000 0.0000  4 Cd 3.07, 4 Mg 3.23, 4 Sc 3.25
2 Sc 0.0000 0.0000 0.5240  4 Cd 3.13, 8 Sc 3.23-3.24
3 Sc 0.5000 0.5000 0.2629  8 Sc 3.23-3.24, 4 Mg 3.25
4 Cd 0.5000 0.5000 0.7666  4 Mg 3.07, 4 Sc 3.13, 4 Cd 3.23

Output
As for the volume: 22.999 Å³/atom. For the calculated density, the calculation gives 4.091 g/cm³.

=====

B) This record from Alexandria describes crystalline MgSc2Cd at its relaxed geometry. The functional is PBE-GGA.

Unit cell a=3.2752 b=3.2752 c=30.7541 alpha=90.00 beta=90.00 gamma=120.00
Closest atoms and distances in Å follow each position.
Space group R3m (No. 160, hexagonal axes)
Symmetry-distinct sites (fractional):
1 Mg 0.0000 0.0000 0.0000  6 Sc 3.26, 6 Mg 3.28
2 Sc 0.0000 0.0000 0.2471  3 Cd 3.11, 3 Mg 3.26, 6 Sc 3.28
3 Sc 0.0000 0.0000 0.4198  3 Cd 3.11, 3 Mg 3.26, 6 Sc 3.28
4 Cd 0.0000 0.0000 0.8335  6 Sc 3.11, 6 Cd 3.28

Output
As for the volume: 23.809 Å³/atom. For the calculated density, the calculation gives 3.952 g/cm³.

=====

Stability, highest: A)